[1]
Crystalline U3Te2S2 at its relaxed geometry. Source: Alexandria, functional PBE-GGA.

- Electronic total energy: -7.87 eV per atom
- SG: C2/m
- Energy relative to the elements, uncorrected: -0.953 eV/atom
- N(E_F): 28.3 states/eV per cell
- V: 27.900 Å³ per atom

```
data_U3Te2S2
_chemical_formula_sum 'U6 Te4 S4'
_space_group_name_H-M_alt 'P 1'
_space_group_IT_number 1
_cell_length_a 14.396
_cell_length_b 4.096
_cell_length_c 6.950
_cell_angle_alpha 90.00
_cell_angle_beta 107.62
_cell_angle_gamma 90.00
loop_
_space_group_symop_operation_xyz
'x,y,z'
loop_
_atom_site_label
_atom_site_type_symbol
_atom_site_fract_x
_atom_site_fract_y
_atom_site_fract_z
U1 U 0.000 0.000 0.000
U2 U 0.246 0.500 0.253
U3 U 0.254 0.000 0.747
U4 U 0.500 0.500 0.000
U5 U 0.746 0.000 0.253
U6 U 0.754 0.500 0.747
Te1 Te 0.103 0.500 0.802
Te2 Te 0.397 0.000 0.198
Te3 Te 0.603 0.000 0.802
Te4 Te 0.897 0.500 0.198
S1 S 0.143 0.000 0.356
S2 S 0.357 0.500 0.644
S3 S 0.643 0.500 0.356
S4 S 0.857 0.000 0.644
```

=====

[2]
Crystalline PrHg2Ge at its relaxed geometry. Source: Alexandria, functional PBE-GGA.

- Electronic total energy: -2.25 eV per atom
- SG: R-3m
- N(E_F): 11.6 states/eV per cell
- V: 27.637 Å³ per atom

```
data_PrHg2Ge
_chemical_formula_sum 'Pr3 Hg6 Ge3'
_space_group_name_H-M_alt 'P 1'
_space_group_IT_number 1
_cell_length_a 3.400
_cell_length_b 3.400
_cell_length_c 33.122
_cell_angle_alpha 90.00
_cell_angle_beta 90.00
_cell_angle_gamma 120.00
loop_
_space_group_symop_operation_xyz
'x,y,z'
loop_
_atom_site_label
_atom_site_type_symbol
_atom_site_fract_x
_atom_site_fract_y
_atom_site_fract_z
Pr1 Pr 0.000 0.000 0.000
Pr2 Pr 0.333 0.667 0.667
Pr3 Pr 0.667 0.333 0.333
Hg1 Hg 0.000 0.000 0.096
Hg2 Hg 0.000 0.000 0.904
Hg3 Hg 0.333 0.667 0.571
Hg4 Hg 0.333 0.667 0.762
Hg5 Hg 0.667 0.333 0.238
Hg6 Hg 0.667 0.333 0.429
Ge1 Ge 0.000 0.000 0.500
Ge2 Ge 0.333 0.667 0.167
Ge3 Ge 0.667 0.333 0.833
```